# KCoSe2Br

A relaxed KCoSe2Br crystal (PBE, the Alexandria database).

The uncorrected formation energy is 1.1602 eV/atom. For the polymorph energy (0 for the lowest one), the calculation gives 759.8 kJ/mol of formula units. The uncorrected energy is -11.04 eV per cell. As for the space-group type: No. 123. The value obtained for the theoretical density is 2.7 Mg/m³. Its crystal system is tetragonal.

POSCAR file:
```
KCoSe2Br
1.0
-1.014 0.206 5.877
-4.035 -4.363 -0.543
4.185 -3.979 0.861
Co Br K Se
1 1 1 2
Cartesian
-0.432 -4.068 3.098
2.093 -1.989 0.431
0.000 0.000 0.000
-0.507 0.103 2.939
-2.018 -2.181 -0.271
```



# PuHf2Pd

A relaxed PuHf2Pd crystal (PBE, the Alexandria database).

For the polymorph energy (0 for the lowest one), the calculation gives 29.0 kJ/mol of formula units. The uncorrected energy is -40.18 eV per cell. As for the space-group type: No. 123. The value obtained for the theoretical density is 14.8 Mg/m³. Its crystal system is tetragonal. The value obtained for the formation energy is -0.188 eV/atom.

POSCAR file:
```
PuHf2Pd
1.0
3.175 0.000 0.000
0.000 5.004 0.000
0.000 0.000 5.004
Pu Pd Hf
1 1 2
Cartesian
1.588 2.502 2.502
1.588 0.000 0.000
0.000 0.000 2.502
0.000 2.502 0.000
```



# PrTh2RuN4

A relaxed PrTh2RuN4 crystal (PBE, the Alexandria database).

The uncorrected formation energy is -1.0665 eV/atom. The uncorrected energy is -141.46 eV per cell. As for the space-group type: No. 63. The value obtained for the theoretical density is 9.9 Mg/m³. Its crystal system is orthorhombic.

POSCAR file:
```
PrTh2RuN4
1.0
-1.199 -2.803 1.759
6.307 -0.029 0.731
-1.110 6.650 9.842
Pr Th N Ru
2 4 8 2
Cartesian
0.444 4.667 7.742
3.554 -0.850 4.590
3.161 5.234 10.497
0.402 1.188 5.689
3.595 2.630 6.642
0.837 -1.416 1.835
4.364 3.685 8.848
2.985 0.039 2.096
1.013 3.779 10.236
2.704 1.721 4.587
-0.555 3.325 4.921
-0.367 0.133 3.484
0.000 0.000 0.000
1.294 2.096 7.745
1.422 1.236 2.940
2.576 2.581 9.392
```